# FeNi5Rh4 | Alexandria | GGA-PBE | relaxed
data_FeNi5Rh4
_cell_length_a 13.3229
_cell_length_b 3.7056
_cell_length_c 5.1848
_cell_angle_alpha 90.00
_cell_angle_beta 102.65
_cell_angle_gamma 90.00
_space_group_name_H-M_alt 'C 1 2/m 1'
_space_group_IT_number 12
_space_group_name_Hall '-C 2y'
loop_
_atom_site_label
_atom_site_type_symbol
_atom_site_fract_x
_atom_site_fract_y
_atom_site_fract_z
_atom_site_occupancy
Fe1 Fe 0.0000 0.0000 0.0000 1
Ni1 Ni 0.0000 0.0000 0.5000 1
Ni2 Ni 0.0979 0.5000 0.7962 1
Ni3 Ni 0.1998 0.0000 0.6008 1
Rh1 Rh 0.0973 0.5000 0.3047 1
Rh2 Rh 0.1994 0.0000 0.1008 1
# VASP energy: -6.666 eV per atom
# DOS(E_F): 31.35 states/eV per cell

# CaYP2O | Alexandria | GGA-PBE | relaxed
data_CaYP2O
_cell_length_a 5.4008
_cell_length_b 5.4008
_cell_length_c 4.2712
_cell_angle_alpha 90.00
_cell_angle_beta 90.00
_cell_angle_gamma 90.00
_space_group_name_H-M_alt 'P 4/m m m'
_space_group_IT_number 123
_space_group_name_Hall '-P 4 2'
loop_
_atom_site_label
_atom_site_type_symbol
_atom_site_fract_x
_atom_site_fract_y
_atom_site_fract_z
_atom_site_occupancy
Ca1 Ca 0.0000 0.0000 0.0000 1
Y1 Y 0.5000 0.5000 0.5000 1
P1 P 0.0000 0.5000 0.5000 1
O1 O 0.5000 0.5000 0.0000 1
# energy relative to the elements, uncorrected: -0.78 eV/atom
# VASP energy: -5.626 eV per atom
# distance to the lowest polymorph of the same formula: 0 meV per atom
# DOS(E_F): 3.02 states/eV per cell

# Mg2ScSb | Alexandria | GGA-PBE | relaxed
data_Mg2ScSb
_cell_length_a 3.3039
_cell_length_b 3.3039
_cell_length_c 8.8889
_cell_angle_alpha 90.00
_cell_angle_beta 90.00
_cell_angle_gamma 90.00
_space_group_name_H-M_alt 'P 4/m m m'
_space_group_IT_number 123
_space_group_name_Hall '-P 4 2'
loop_
_atom_site_label
_atom_site_type_symbol
_atom_site_fract_x
_atom_site_fract_y
_atom_site_fract_z
_atom_site_occupancy
Mg1 Mg 0.0000 0.0000 0.2487 1
Sc1 Sc 0.5000 0.5000 0.0000 1
Sb1 Sb 0.5000 0.5000 0.5000 1
# energy relative to the elements, uncorrected: -0.08 eV/atom
# VASP energy: -3.495 eV per atom
# DOS(E_F): 3.40 states/eV per cell

Q: Which of these has the highest DOS(E_F)?
A: FeNi5Rh4

Q: Which formula does entry 3 have?
A: Mg2ScSb

Q: Which value of DOS(E_F) does entry 2 give?
A: 3.02 states/eV per cell